First-principles (PBE) data for a relaxed structure of LaMnSe2, as listed in Alexandria.

Its distance to the lowest polymorph of the same formula is 0.079 eV/atom. The value obtained for the magnetic moment is 8.1 μB per cell. The value obtained for the raw formation energy is -4.59 eV/f.u.

The space group is I-4m2 (No. 119) and the conventional cell measures 3.837, 3.837 and 13.212 Å, with angles of 90.00, 90.00 and 90.00 degrees. The inequivalent atoms are La at (0.000, 0.000, 0.000), Mn at (0.000, 0.500, 0.750) and Se at (0.000, 0.000, 0.374).